# Ac3MgHg4, relaxed, DFT PBE
# N(E_F): 0.596 states/eV/atom
# Calculated total energy: -17.9 eV per formula unit
# Magnetic moment: 0.00 μB per cell
# Energy relative to the elements: -0.35 eV per atom
# Energy above the lowest structure with this stoichiometry: 0.086 eV per atom
data_Ac3MgHg4
_chemical_formula_sum 'Ac6 Mg2 Hg8'
_cell_length_a 4.141
_cell_length_b 7.466
_cell_length_c 17.407
_cell_angle_alpha 90.00
_cell_angle_beta 90.00
_cell_angle_gamma 90.00
_symmetry_space_group_name_H-M 'I m m m'
_symmetry_Int_Tables_number 71
_symmetry_space_group_name_Hall '-I 2 2'
loop_
_atom_site_label
_atom_site_type_symbol
_atom_site_fract_x
_atom_site_fract_y
_atom_site_fract_z
Ac1 Ac 0.000 0.000 0.000
Ac2 Ac 0.000 0.500 0.211
Mg1 Mg 0.000 0.000 0.500
Hg1 Hg 0.000 0.279 0.379